No. 1
Computed, not measured: MnCo2Cl at its PBEsol-relaxed geometry at the SCAN level of DFT.

Properties
Energy above the most stable polymorph in this dataset, kcal/mol of atoms: 8.32
DOS at the Fermi energy, states/eV per cell: 3.48
Energy relative to the elements, uncorrected, meV/atom: 372
Density, g/cm³: 7.25

Geometry as CIF:
```
data_MnCo2Cl
_symmetry_space_group_name_H-M 'I m m m'
_symmetry_Int_Tables_number 71
_symmetry_space_group_name_Hall '-I 2 2'
_cell_length_a 2.736
_cell_length_b 4.119
_cell_length_c 8.469
_cell_angle_alpha 90.00
_cell_angle_beta 90.00
_cell_angle_gamma 90.00
loop_
_atom_site_label
_atom_site_fract_x
_atom_site_fract_y
_atom_site_fract_z
Mn1 0.000 0.000 0.000
Co1 0.000 0.500 0.231
Cl1 0.000 0.000 0.500
```


No. 2
Computed, not measured: MnCoCl2 at its PBEsol-relaxed geometry at the SCAN level of DFT.

Properties
Energy above the most stable polymorph in this dataset, kcal/mol of atoms: 0.00
DOS at the Fermi energy, states/eV per cell: 1.44
Energy relative to the elements, uncorrected, meV/atom: -441
Density, g/cm³: 4.44

Geometry as CIF:
```
data_MnCoCl2
_symmetry_space_group_name_H-M 'C m m 2'
_symmetry_Int_Tables_number 35
_symmetry_space_group_name_Hall 'C 2 -2'
_cell_length_a 3.685
_cell_length_b 4.896
_cell_length_c 7.667
_cell_angle_alpha 90.00
_cell_angle_beta 90.00
_cell_angle_gamma 90.00
loop_
_atom_site_label
_atom_site_fract_x
_atom_site_fract_y
_atom_site_fract_z
Mn1 0.000 0.000 0.000
Co1 0.000 0.500 0.225
Cl1 0.000 0.000 0.387
Cl2 0.000 0.500 0.802
```


No. 3
Computed, not measured: MnCoCl2 at its PBEsol-relaxed geometry at the SCAN level of DFT.

Properties
Energy above the most stable polymorph in this dataset, kcal/mol of atoms: 9.79
DOS at the Fermi energy, states/eV per cell: 1.51
Energy relative to the elements, uncorrected, meV/atom: -16
Density, g/cm³: 5.39

Geometry as CIF:
```
data_MnCoCl2
_symmetry_space_group_name_H-M 'P 4/m m m'
_symmetry_Int_Tables_number 123
_symmetry_space_group_name_Hall '-P 4 2'
_cell_length_a 4.298
_cell_length_b 4.298
_cell_length_c 3.083
_cell_angle_alpha 90.00
_cell_angle_beta 90.00
_cell_angle_gamma 90.00
loop_
_atom_site_label
_atom_site_fract_x
_atom_site_fract_y
_atom_site_fract_z
Mn1 0.000 0.000 0.000
Co1 0.500 0.500 0.000
Cl1 0.000 0.500 0.500
```